DFT (GGA+U) results for a relaxed structure of Al3CrF.

Output
For the total DFT energy (no corrections), the calculation gives -4.20 eV per atom.

Structure (CIF):
```
data_Al3CrF
_chemical_formula_sum 'Al3 Cr1 F1'
_symmetry_space_group_name_H-M 'P m -3 m'
_symmetry_Int_Tables_number 221
_symmetry_space_group_name_Hall '-P 4 2 3'
_cell_length_a 4.418
_cell_length_b 4.418
_cell_length_c 4.418
_cell_angle_alpha 90.00
_cell_angle_beta 90.00
_cell_angle_gamma 90.00
loop_
_atom_site_label
_atom_site_type_symbol
_atom_site_fract_x
_atom_site_fract_y
_atom_site_fract_z
Al1 Al 0.000 0.000 0.500
Cr1 Cr 0.500 0.500 0.500
F1 F 0.000 0.000 0.000
```